Compound: NiRuSCl2
Source: Alexandria via LeMat-Bulk
Functional: PBE-GGA
Structure: relaxed

Cell: 4.509 4.509 4.655 Å, 90.00 90.00 90.00°
Last column: magnetic moment on the atom in μB.
Fractional positions:
Ni (0.000, 0.000, 0.000)  0.09
Cl (0.000, 0.500, 0.000)  0.10
Cl (0.500, 0.000, 0.000)  0.10
S (0.000, 0.000, 0.500)  0.20
Ru (0.500, 0.500, 0.500)  2.99

Calculated values
**Theoretical density**: 4.6 g cm⁻³
**Energy above the most stable polymorph in this dataset**: 93 meV/atom
**Volume**: 18.93 Å³ per atom
**Crystal system**: tetragonal
**Formation energy (no corrections)**: 610.8 meV per atom
**Uncorrected energy**: -19.82 eV/cell

=====

Compound: Ni2RuSCl
Source: Alexandria via LeMat-Bulk
Functional: PBE-GGA
Structure: relaxed

Cell: 4.193 4.563 4.193 Å, 90.00 90.00 90.00°
Last column: magnetic moment on the atom in μB.
Fractional positions:
Ni (0.500, 0.000, 0.000)  0.06
Ni (0.000, 0.000, 0.500)  0.16
S (0.000, 0.000, 0.000)  0.03
Cl (0.500, 0.500, 0.500)  0.06
Ru (0.000, 0.500, 0.000)  1.31

Calculated values
**Theoretical density**: 5.9 g cm⁻³
**Volume**: 16.05 Å³ per atom
**Crystal system**: tetragonal
**Formation energy (no corrections)**: 452.4 meV per atom
**Uncorrected energy**: -24.55 eV/cell

=====

Compound: Ni2SbRuCl
Source: Alexandria via LeMat-Bulk
Functional: PBE-GGA
Structure: relaxed

Cell: 4.198 4.637 4.198 Å, 90.00 90.00 90.00°
Fractional positions:
Cl (0.000, 0.000, 0.000)
Ru (0.000, 0.500, 0.000)
Ni (0.500, 0.000, 0.000)
Ni (0.000, 0.000, 0.500)
Sb (0.500, 0.500, 0.500)

Calculated values
**Theoretical density**: 7.6 g cm⁻³
**Volume**: 16.34 Å³ per atom
**Crystal system**: tetragonal
**Formation energy (no corrections)**: 687.6 meV per atom
**Uncorrected energy**: -23.37 eV/cell